Record 1
The following is a PBE calculation of a relaxed structure of KRbNp2Cl8, from the Alexandria database.

Values from the calculation:
E_form (uncorrected)   -21.6 eV per formula unit
DOS at the Fermi energy   11.97 states/eV per cell
Magnetic moment   0.667 μB per atom

Geometry as CIF:
```
data_KRbNp2Cl8
_cell_length_a 6.9234
_cell_length_b 7.2938
_cell_length_c 8.6750
_cell_angle_alpha 90.53
_cell_angle_beta 90.88
_cell_angle_gamma 92.30
_symmetry_space_group_name_H-M 'P -1'
_symmetry_Int_Tables_number 2
loop_
_symmetry_equiv_pos_as_xyz
'x,y,z'
'-x,-y,-z'
loop_
_atom_site_label
_atom_site_fract_x
_atom_site_fract_y
_atom_site_fract_z
K1 0.0000 0.0000 0.0000
Rb1 0.0000 0.0000 0.5000
Np1 0.5001 0.4999 0.2481
Cl1 0.2635 0.2009 0.7632
Cl2 0.2651 0.1993 0.2466
Cl3 0.2954 0.6417 0.9987
Cl4 0.2971 0.6365 0.4983
```



Record 2
The following is a PBE calculation of a relaxed structure of KRb2NpCl8, from the Alexandria database.

Values from the calculation:
E_form (uncorrected)   -20.1 eV per formula unit
DOS at the Fermi energy   12.77 states/eV per cell
Magnetic moment   0.201 μB per atom

Geometry as CIF:
```
data_KRb2NpCl8
_cell_length_a 6.7643
_cell_length_b 7.3566
_cell_length_c 9.8496
_cell_angle_alpha 90.03
_cell_angle_beta 90.04
_cell_angle_gamma 94.19
_symmetry_space_group_name_H-M 'P -1'
_symmetry_Int_Tables_number 2
loop_
_symmetry_equiv_pos_as_xyz
'x,y,z'
'-x,-y,-z'
loop_
_atom_site_label
_atom_site_fract_x
_atom_site_fract_y
_atom_site_fract_z
K1 0.0000 0.0000 0.0000
Rb1 0.5003 0.5005 0.2406
Np1 0.0000 0.0000 0.5000
Cl1 0.1290 0.7981 0.3154
Cl2 0.1302 0.7993 0.6848
Cl3 0.3232 0.2007 0.4995
Cl4 0.3679 0.2436 0.0002
```



Record 3
The following is a PBE calculation of a relaxed structure of K2NpS2Cl2, from the Alexandria database.

Values from the calculation:
E_form (uncorrected)   -11.1 eV per formula unit
DOS at the Fermi energy   25.87 states/eV per cell
Magnetic moment   0.429 μB per atom

Geometry as CIF:
```
data_K2NpS2Cl2
_cell_length_a 5.2419
_cell_length_b 5.2419
_cell_length_c 16.0608
_cell_angle_alpha 90.00
_cell_angle_beta 90.00
_cell_angle_gamma 90.00
_symmetry_space_group_name_H-M 'I 4/m m m'
_symmetry_Int_Tables_number 139
_symmetry_space_group_name_Hall '-I 4 2'
loop_
_atom_site_label
_atom_site_fract_x
_atom_site_fract_y
_atom_site_fract_z
K1 0.0000 0.0000 0.1347
Np1 0.0000 0.0000 0.5000
S1 0.0000 0.5000 0.0000
Cl1 0.0000 0.0000 0.3308
```



Record 4
The following is a PBE calculation of a relaxed structure of K2NpS2Cl4, from the Alexandria database.

Values from the calculation:
E_form (uncorrected)   -12.9 eV per formula unit
DOS at the Fermi energy   3.29 states/eV per cell
Magnetic moment   0.111 μB per atom

Geometry as CIF:
```
data_K2NpS2Cl4
_cell_length_a 12.6805
_cell_length_b 7.3011
_cell_length_c 7.2402
_cell_angle_alpha 90.00
_cell_angle_beta 123.84
_cell_angle_gamma 90.00
_symmetry_space_group_name_H-M 'C 1 2/m 1'
_symmetry_Int_Tables_number 12
loop_
_symmetry_equiv_pos_as_xyz
'x,y,z'
'-x,-y,-z'
'-x,y,-z'
'x,-y,z'
'x+1/2,y+1/2,z'
'-x+1/2,-y+1/2,-z'
'-x+1/2,y+1/2,-z'
'x+1/2,-y+1/2,z'
loop_
_atom_site_label
_atom_site_fract_x
_atom_site_fract_y
_atom_site_fract_z
K1 0.2467 0.0000 0.2295
Np1 0.0000 0.5000 0.0000
S1 0.2191 0.5000 0.2831
Cl1 0.0383 0.2503 0.7904
```



Record 5
The following is a PBE calculation of a relaxed structure of KNpScCl6, from the Alexandria database.

Values from the calculation:
E_form (uncorrected)   -16.8 eV per formula unit
DOS at the Fermi energy   22.46 states/eV per cell
Magnetic moment   0.556 μB per atom

Geometry as CIF:
```
data_KNpScCl6
_cell_length_a 6.8893
_cell_length_b 6.8893
_cell_length_c 14.0290
_cell_angle_alpha 90.00
_cell_angle_beta 90.00
_cell_angle_gamma 120.00
_symmetry_space_group_name_H-M 'P -3 1 c'
_symmetry_Int_Tables_number 163
_symmetry_space_group_name_Hall '-P 3 2c'
loop_
_atom_site_label
_atom_site_fract_x
_atom_site_fract_y
_atom_site_fract_z
K1 0.0000 0.0000 0.0000
Np1 0.3333 0.6667 0.2500
Sc1 0.3333 0.6667 0.7500
Cl1 0.0245 0.3729 0.6427
```



Record 6
The following is a PBE calculation of a relaxed structure of KNpSn2Cl8, from the Alexandria database.

Values from the calculation:
E_form (uncorrected)   -16.8 eV per formula unit
DOS at the Fermi energy   4.95 states/eV per cell
Magnetic moment   0.333 μB per atom

Geometry as CIF:
```
data_KNpSn2Cl8
_cell_length_a 6.5937
_cell_length_b 6.8499
_cell_length_c 8.9712
_cell_angle_alpha 87.90
_cell_angle_beta 88.78
_cell_angle_gamma 88.51
_symmetry_space_group_name_H-M 'P -1'
_symmetry_Int_Tables_number 2
loop_
_symmetry_equiv_pos_as_xyz
'x,y,z'
'-x,-y,-z'
loop_
_atom_site_label
_atom_site_fract_x
_atom_site_fract_y
_atom_site_fract_z
K1 0.0000 0.0000 0.0000
Np1 0.0000 0.0000 0.5000
Sn1 0.4958 0.4885 0.2470
Cl1 0.2182 0.8182 0.2804
Cl2 0.2494 0.3171 0.4647
Cl3 0.2542 0.8617 0.7200
Cl4 0.2820 0.3593 0.0358
```



Record 7
The following is a PBE calculation of a relaxed structure of KSrNpCl6, from the Alexandria database.

Values from the calculation:
E_form (uncorrected)   -18.3 eV per formula unit
DOS at the Fermi energy   17.40 states/eV per cell
Magnetic moment   0.444 μB per atom

Geometry as CIF:
```
data_KSrNpCl6
_cell_length_a 7.4631
_cell_length_b 7.4631
_cell_length_c 13.2790
_cell_angle_alpha 90.00
_cell_angle_beta 90.00
_cell_angle_gamma 120.00
_symmetry_space_group_name_H-M 'P -3 1 c'
_symmetry_Int_Tables_number 163
_symmetry_space_group_name_Hall '-P 3 2c'
loop_
_atom_site_label
_atom_site_fract_x
_atom_site_fract_y
_atom_site_fract_z
K1 0.0000 0.0000 0.0000
Sr1 0.3333 0.6667 0.2500
Np1 0.3333 0.6667 0.7500
Cl1 0.0170 0.3704 0.6357
```



Record 8
The following is a PBE calculation of a relaxed structure of K2SrNpCl8, from the Alexandria database.

Values from the calculation:
E_form (uncorrected)   -23.4 eV per formula unit
DOS at the Fermi energy   5.38 states/eV per cell
Magnetic moment   0.250 μB per atom

Geometry as CIF:
```
data_K2SrNpCl8
_cell_length_a 6.9383
_cell_length_b 8.8964
_cell_length_c 7.0708
_cell_angle_alpha 90.00
_cell_angle_beta 92.54
_cell_angle_gamma 90.00
_symmetry_space_group_name_H-M 'P 1 2/m 1'
_symmetry_Int_Tables_number 10
loop_
_symmetry_equiv_pos_as_xyz
'x,y,z'
'-x,-y,-z'
'-x,y,-z'
'x,-y,z'
loop_
_atom_site_label
_atom_site_fract_x
_atom_site_fract_y
_atom_site_fract_z
K1 0.0000 0.2459 0.0000
Sr1 0.5000 0.0000 0.5000
Np1 0.5000 0.5000 0.5000
Cl1 0.2335 0.0000 0.1937
Cl2 0.2632 0.5000 0.2055
Cl3 0.3011 0.2804 0.6505
```



Record 9
The following is a PBE calculation of a relaxed structure of KNpTlCl6, from the Alexandria database.

Values from the calculation:
E_form (uncorrected)   -14.6 eV per formula unit
DOS at the Fermi energy   10.48 states/eV per cell
Magnetic moment   0.333 μB per atom

Geometry as CIF:
```
data_KNpTlCl6
_cell_length_a 7.7255
_cell_length_b 7.7255
_cell_length_c 12.7031
_cell_angle_alpha 90.00
_cell_angle_beta 90.00
_cell_angle_gamma 120.00
_symmetry_space_group_name_H-M 'P -3 1 c'
_symmetry_Int_Tables_number 163
_symmetry_space_group_name_Hall '-P 3 2c'
loop_
_atom_site_label
_atom_site_fract_x
_atom_site_fract_y
_atom_site_fract_z
K1 0.3333 0.6667 0.2500
Np1 0.3333 0.6667 0.7500
Tl1 0.0000 0.0000 0.0000
Cl1 0.0535 0.3884 0.6325
```



Record 10
The following is a PBE calculation of a relaxed structure of KNpTl2Cl8, from the Alexandria database.

Values from the calculation:
E_form (uncorrected)   -16.8 eV per formula unit
DOS at the Fermi energy   8.27 states/eV per cell
Magnetic moment   0.162 μB per atom

Geometry as CIF:
```
data_KNpTl2Cl8
_cell_length_a 6.9318
_cell_length_b 7.2809
_cell_length_c 9.3075
_cell_angle_alpha 89.94
_cell_angle_beta 89.97
_cell_angle_gamma 87.66
_symmetry_space_group_name_H-M 'P -1'
_symmetry_Int_Tables_number 2
loop_
_symmetry_equiv_pos_as_xyz
'x,y,z'
'-x,-y,-z'
loop_
_atom_site_label
_atom_site_fract_x
_atom_site_fract_y
_atom_site_fract_z
K1 0.0000 0.0000 0.0000
Np1 0.0000 0.0000 0.5000
Tl1 0.5004 0.4991 0.2326
Cl1 0.1280 0.2078 0.3050
Cl2 0.1295 0.2069 0.6945
Cl3 0.3117 0.8125 0.4991
Cl4 0.3413 0.7221 0.0005
```



Record 11
The following is a PBE calculation of a relaxed structure of K2NpTlCl8, from the Alexandria database.

Values from the calculation:
E_form (uncorrected)   -18.4 eV per formula unit
DOS at the Fermi energy   12.69 states/eV per cell
Magnetic moment   0.209 μB per atom

Geometry as CIF:
```
data_K2NpTlCl8
_cell_length_a 6.7644
_cell_length_b 9.6229
_cell_length_c 6.9256
_cell_angle_alpha 90.00
_cell_angle_beta 93.82
_cell_angle_gamma 90.00
_symmetry_space_group_name_H-M 'P 1 2/m 1'
_symmetry_Int_Tables_number 10
loop_
_symmetry_equiv_pos_as_xyz
'x,y,z'
'-x,-y,-z'
'-x,y,-z'
'x,-y,z'
loop_
_atom_site_label
_atom_site_fract_x
_atom_site_fract_y
_atom_site_fract_z
K1 0.0000 0.2493 0.0000
Np1 0.5000 0.5000 0.5000
Tl1 0.5000 0.0000 0.5000
Cl1 0.2062 0.0000 0.1853
Cl2 0.2685 0.5000 0.1896
Cl3 0.2916 0.3081 0.6410
```



Record 12
The following is a PBE calculation of a relaxed structure of KNpZnCl6, from the Alexandria database.

Values from the calculation:
E_form (uncorrected)   -14.0 eV per formula unit
DOS at the Fermi energy   15.94 states/eV per cell
Magnetic moment   0.444 μB per atom

Geometry as CIF:
```
data_KNpZnCl6
_cell_length_a 6.8909
_cell_length_b 6.8909
_cell_length_c 13.6137
_cell_angle_alpha 90.00
_cell_angle_beta 90.00
_cell_angle_gamma 120.00
_symmetry_space_group_name_H-M 'P -3 1 c'
_symmetry_Int_Tables_number 163
_symmetry_space_group_name_Hall '-P 3 2c'
loop_
_atom_site_label
_atom_site_fract_x
_atom_site_fract_y
_atom_site_fract_z
K1 0.0000 0.0000 0.0000
Np1 0.3333 0.6667 0.2500
Zn1 0.3333 0.6667 0.7500
Cl1 0.0255 0.3836 0.6427
```



- Among the records above, which one has the lowest E_form (uncorrected)?
  K2SrNpCl8